VASP calculation (PBE with a Hubbard U) on an optimized crystal structure of CoOsN2O.

Lattice parameters (Å, degrees): 3.822 3.822 3.967 90.00 90.00 90.00
Each line ends with the local moment (μB).
Positions (direct):
Co 0.500 0.500 0.500  2.61
Os 0.000 0.000 0.000  0.04
O 0.000 0.000 0.500  0.05
N 0.000 0.500 0.000  0.09
N 0.500 0.000 0.000  0.09

Output
Space group: P4/mmm, No. 123
Raw total energy, eV for the cell shown: -34.54
N(E_F), states/eV per atom: 0.653